[1]
DFT (GGA-PBE) results for crystalline HfMoW at its relaxed geometry.

```
data_HfMoW
_space_group_name_H-M_alt 'F -4 3 m'
_space_group_IT_number 216
_space_group_name_Hall 'F -4 2 3'
_cell_length_a 6.250
_cell_length_b 6.250
_cell_length_c 6.250
_cell_angle_alpha 90.00
_cell_angle_beta 90.00
_cell_angle_gamma 90.00
loop_
_atom_site_label
_atom_site_type_symbol
_atom_site_fract_x
_atom_site_fract_y
_atom_site_fract_z
Hf1 Hf 0.000 0.000 0.000
Mo1 Mo 0.250 0.250 0.250
W1 W 0.000 0.000 0.500
```

Computed properties:
* energy of formation: 0.637 eV per atom
* energy relative to the lowest polymorph listed for this composition: 0 meV/atom
* volume: 20.342 Å³ per atom

=====

[2]
DFT (GGA-PBE) results for crystalline HfMo2W2 at its relaxed geometry.

```
data_HfMo2W2
_space_group_name_H-M_alt 'I 4/m m m'
_space_group_IT_number 139
_space_group_name_Hall '-I 4 2'
_cell_length_a 4.241
_cell_length_b 4.241
_cell_length_c 10.725
_cell_angle_alpha 90.00
_cell_angle_beta 90.00
_cell_angle_gamma 90.00
loop_
_atom_site_label
_atom_site_type_symbol
_atom_site_fract_x
_atom_site_fract_y
_atom_site_fract_z
Hf1 Hf 0.000 0.000 0.000
Mo1 Mo 0.000 0.500 0.250
W1 W 0.000 0.000 0.382
```

Computed properties:
* energy of formation: 0.607 eV per atom
* volume: 19.294 Å³ per atom

=====

[3]
DFT (GGA-PBE) results for crystalline HfMoW2 at its relaxed geometry.

```
data_HfMoW2
_space_group_name_H-M_alt 'F -4 3 m'
_space_group_IT_number 216
_space_group_name_Hall 'F -4 2 3'
_cell_length_a 6.470
_cell_length_b 6.470
_cell_length_c 6.470
_cell_angle_alpha 90.00
_cell_angle_beta 90.00
_cell_angle_gamma 90.00
loop_
_atom_site_label
_atom_site_type_symbol
_atom_site_fract_x
_atom_site_fract_y
_atom_site_fract_z
Hf1 Hf 0.000 0.000 0.000
Mo1 Mo 0.250 0.250 0.750
W1 W 0.000 0.000 0.500
W2 W 0.250 0.250 0.250
```

Computed properties:
* energy of formation: -0.011 eV per atom
* volume: 16.930 Å³ per atom

=====

[4]
DFT (GGA-PBE) results for crystalline Hf2MoW at its relaxed geometry.

```
data_Hf2MoW
_space_group_name_H-M_alt 'F -4 3 m'
_space_group_IT_number 216
_space_group_name_Hall 'F -4 2 3'
_cell_length_a 6.628
_cell_length_b 6.628
_cell_length_c 6.628
_cell_angle_alpha 90.00
_cell_angle_beta 90.00
_cell_angle_gamma 90.00
loop_
_atom_site_label
_atom_site_type_symbol
_atom_site_fract_x
_atom_site_fract_y
_atom_site_fract_z
Hf1 Hf 0.000 0.000 0.000
Hf2 Hf 0.250 0.250 0.250
Mo1 Mo 0.250 0.250 0.750
W1 W 0.000 0.000 0.500
```

Computed properties:
* energy of formation: 0.105 eV per atom
* volume: 18.196 Å³ per atom

=====

[5]
DFT (GGA-PBE) results for crystalline Hf2ZnMo at its relaxed geometry.

```
data_Hf2ZnMo
_space_group_name_H-M_alt 'P 4/m m m'
_space_group_IT_number 123
_space_group_name_Hall '-P 4 2'
_cell_length_a 3.377
_cell_length_b 3.377
_cell_length_c 6.433
_cell_angle_alpha 90.00
_cell_angle_beta 90.00
_cell_angle_gamma 90.00
loop_
_atom_site_label
_atom_site_type_symbol
_atom_site_fract_x
_atom_site_fract_y
_atom_site_fract_z
Hf1 Hf 0.000 0.000 0.240
Zn1 Zn 0.500 0.500 0.500
Mo1 Mo 0.500 0.500 0.000
```

Computed properties:
* energy of formation: -0.193 eV per atom
* energy relative to the lowest polymorph listed for this composition: 0 meV/atom
* volume: 18.344 Å³ per atom

=====

[6]
DFT (GGA-PBE) results for crystalline HfZnMo2 at its relaxed geometry.

```
data_HfZnMo2
_space_group_name_H-M_alt 'F -4 3 m'
_space_group_IT_number 216
_space_group_name_Hall 'F -4 2 3'
_cell_length_a 6.434
_cell_length_b 6.434
_cell_length_c 6.434
_cell_angle_alpha 90.00
_cell_angle_beta 90.00
_cell_angle_gamma 90.00
loop_
_atom_site_label
_atom_site_type_symbol
_atom_site_fract_x
_atom_site_fract_y
_atom_site_fract_z
Hf1 Hf 0.000 0.000 0.000
Zn1 Zn 0.250 0.250 0.250
Mo1 Mo 0.000 0.000 0.500
Mo2 Mo 0.250 0.250 0.750
```

Computed properties:
* energy of formation: 0.011 eV per atom
* volume: 16.644 Å³ per atom

=====

[7]
DFT (GGA-PBE) results for crystalline HfZnMo4 at its relaxed geometry.

```
data_HfZnMo4
_space_group_name_H-M_alt 'R -3 m'
_space_group_IT_number 166
_space_group_name_Hall '-R 3 2"'
_cell_length_a 4.6710
_cell_length_b 4.6710
_cell_length_c 16.4775
_cell_angle_alpha 90.00
_cell_angle_beta 90.00
_cell_angle_gamma 120.00
loop_
_atom_site_label
_atom_site_type_symbol
_atom_site_fract_x
_atom_site_fract_y
_atom_site_fract_z
Hf1 Hf 0.0000 0.0000 0.0000
Zn1 Zn 0.0000 0.0000 0.5000
Mo1 Mo 0.0000 0.0000 0.1961
Mo2 Mo 0.0000 0.0000 0.3513
```

Computed properties:
* energy of formation: 0.449 eV per atom
* volume: 17.297 Å³ per atom

=====

[8]
DFT (GGA-PBE) results for crystalline Hf2ZnMo at its relaxed geometry.

```
data_Hf2ZnMo
_space_group_name_H-M_alt 'F -4 3 m'
_space_group_IT_number 216
_space_group_name_Hall 'F -4 2 3'
_cell_length_a 6.601
_cell_length_b 6.601
_cell_length_c 6.601
_cell_angle_alpha 90.00
_cell_angle_beta 90.00
_cell_angle_gamma 90.00
loop_
_atom_site_label
_atom_site_type_symbol
_atom_site_fract_x
_atom_site_fract_y
_atom_site_fract_z
Hf1 Hf 0.000 0.000 0.000
Hf2 Hf 0.250 0.250 0.250
Zn1 Zn 0.250 0.250 0.750
Mo1 Mo 0.000 0.000 0.500
```

Computed properties:
* energy of formation: 0.170 eV per atom
* energy relative to the lowest polymorph listed for this composition: 363 meV/atom
* volume: 17.978 Å³ per atom

=====

[9]
DFT (GGA-PBE) results for crystalline HfZn4Mo at its relaxed geometry.

```
data_HfZn4Mo
_space_group_name_H-M_alt 'F -4 3 m'
_space_group_IT_number 216
_space_group_name_Hall 'F -4 2 3'
_cell_length_a 7.119
_cell_length_b 7.119
_cell_length_c 7.119
_cell_angle_alpha 90.00
_cell_angle_beta 90.00
_cell_angle_gamma 90.00
loop_
_atom_site_label
_atom_site_type_symbol
_atom_site_fract_x
_atom_site_fract_y
_atom_site_fract_z
Hf1 Hf 0.000 0.000 0.000
Zn1 Zn 0.124 0.124 0.624
Mo1 Mo 0.250 0.250 0.250
```

Computed properties:
* energy of formation: -0.147 eV per atom
* volume: 15.032 Å³ per atom

=====

[10]
DFT (GGA-PBE) results for crystalline HfZn2Mo at its relaxed geometry.

```
data_HfZn2Mo
_space_group_name_H-M_alt 'F -4 3 m'
_space_group_IT_number 216
_space_group_name_Hall 'F -4 2 3'
_cell_length_a 6.443
_cell_length_b 6.443
_cell_length_c 6.443
_cell_angle_alpha 90.00
_cell_angle_beta 90.00
_cell_angle_gamma 90.00
loop_
_atom_site_label
_atom_site_type_symbol
_atom_site_fract_x
_atom_site_fract_y
_atom_site_fract_z
Hf1 Hf 0.000 0.000 0.000
Zn1 Zn 0.000 0.000 0.500
Zn2 Zn 0.250 0.250 0.750
Mo1 Mo 0.250 0.250 0.250
```

Computed properties:
* energy of formation: 0.266 eV per atom
* volume: 16.719 Å³ per atom

=====

[11]
DFT (GGA-PBE) results for crystalline Hf2ZrMo2 at its relaxed geometry.

```
data_Hf2ZrMo2
_space_group_name_H-M_alt 'I 4/m m m'
_space_group_IT_number 139
_space_group_name_Hall '-I 4 2'
_cell_length_a 4.164
_cell_length_b 4.164
_cell_length_c 12.184
_cell_angle_alpha 90.00
_cell_angle_beta 90.00
_cell_angle_gamma 90.00
loop_
_atom_site_label
_atom_site_type_symbol
_atom_site_fract_x
_atom_site_fract_y
_atom_site_fract_z
Hf1 Hf 0.000 0.500 0.250
Zr1 Zr 0.000 0.000 0.000
Mo1 Mo 0.000 0.000 0.403
```

Computed properties:
* energy of formation: 0.436 eV per atom
* volume: 21.122 Å³ per atom

=====

[12]
DFT (GGA-PBE) results for crystalline HfZrMo at its relaxed geometry.

```
data_HfZrMo
_space_group_name_H-M_alt 'F -4 3 m'
_space_group_IT_number 216
_space_group_name_Hall 'F -4 2 3'
_cell_length_a 6.469
_cell_length_b 6.469
_cell_length_c 6.469
_cell_angle_alpha 90.00
_cell_angle_beta 90.00
_cell_angle_gamma 90.00
loop_
_atom_site_label
_atom_site_type_symbol
_atom_site_fract_x
_atom_site_fract_y
_atom_site_fract_z
Hf1 Hf 0.000 0.000 0.000
Zr1 Zr 0.000 0.000 0.500
Mo1 Mo 0.250 0.250 0.250
```

Computed properties:
* energy of formation: 0.390 eV per atom
* energy relative to the lowest polymorph listed for this composition: 0 meV/atom
* volume: 22.562 Å³ per atom